# 1
A geometry-optimized Tb2PuO8 structure, computed with PBE.

Computed properties:
DOS at the Fermi energy = 9.93 states/eV per cell
Volume = 309.5 Å³ per cell
Formation energy from raw total energies = -2309 meV/atom

a b c (Å): 9.855 7.248 4.611
angles (deg): 90.00 109.97 90.00
Space group C2/m (No. 12)
Inequivalent atoms, fractional coordinates:
Tb1 0.166 0.000 0.372 [4 per cell]
Pu1 0.000 0.500 0.000 [2 per cell]
O1 0.085 0.000 0.804 [4 per cell]
O2 0.120 0.500 0.765 [4 per cell]
O3 0.137 0.312 0.267 [8 per cell]

***

# 2
A geometry-optimized AcPaTl2O6 structure, computed with PBE.

Computed properties:
DOS at the Fermi energy = 26.16 states/eV per cell
Volume = 762.0 Å³ per cell
Formation energy from raw total energies = -2138 meV/atom

a b c (Å): 9.134 9.134 9.134
angles (deg): 90.00 90.00 90.00
Space group Fm-3m (No. 225)
Inequivalent atoms, fractional coordinates:
Ac1 0.000 0.000 0.000 [4 per cell]
Pa1 0.000 0.000 0.500 [4 per cell]
Tl1 0.250 0.250 0.250 [8 per cell]
O1 0.000 0.000 0.267 [24 per cell]

***

# 3
A geometry-optimized YZrP2O structure, computed with PBE.

Computed properties:
DOS at the Fermi energy = 4.11 states/eV per cell
Excess energy over the best structure of this formula in the dataset = 854 meV/atom
Volume = 109.5 Å³ per cell
Formation energy from raw total energies = -362 meV/atom

a b c (Å): 5.170 5.170 4.097
angles (deg): 90.00 90.00 90.00
Space group P4/mmm (No. 123)
Inequivalent atoms, fractional coordinates:
Y1 0.000 0.000 0.000 [1 per cell]
Zr1 0.500 0.500 0.500 [1 per cell]
P1 0.000 0.500 0.000 [2 per cell]
O1 0.000 0.000 0.500 [1 per cell]

***

# 4
A geometry-optimized LiGa2Pt2 structure, computed with PBE.

Computed properties:
DOS at the Fermi energy = 2.79 states/eV per cell
Excess energy over the best structure of this formula in the dataset = 2 meV/atom
Volume = 159.6 Å³ per cell
Energy of formation = -3.42 eV/f.u.

a b c (Å): 7.516 7.516 2.824
angles (deg): 90.00 90.00 90.00
Space group P4/mbm (No. 127)
Inequivalent atoms, fractional coordinates:
Li1 0.000 0.000 0.000 [2 per cell]
Ga1 0.152 0.348 0.500 [4 per cell]
Pt1 0.147 0.647 0.000 [4 per cell]

***

# 5
A geometry-optimized CaZrOs2 structure, computed with PBE.

Computed properties:
DOS at the Fermi energy = 7.43 states/eV per cell
Volume = 146.0 Å³ per cell
Energy of formation = 1.57 eV/f.u.

a b c (Å): 3.290 4.965 8.940
angles (deg): 90.00 90.00 90.00
Space group Immm (No. 71)
Inequivalent atoms, fractional coordinates:
Ca1 0.000 0.000 0.000 [2 per cell]
Zr1 0.000 0.000 0.500 [2 per cell]
Os1 0.000 0.500 0.240 [4 per cell]

***

# 6
A geometry-optimized Ta3NbIr structure, computed with PBE.

Computed properties:
DOS at the Fermi energy = 9.18 states/eV per cell
Excess energy over the best structure of this formula in the dataset = 1365 meV/atom
Volume = 112.0 Å³ per cell
Energy of formation = 5.72 eV/f.u.

a b c (Å): 4.820 4.820 4.820
angles (deg): 90.00 90.00 90.00
Space group Pm-3m (No. 221)
Inequivalent atoms, fractional coordinates:
Ta1 0.000 0.000 0.500 [3 per cell]
Nb1 0.500 0.500 0.500 [1 per cell]
Ir1 0.000 0.000 0.000 [1 per cell]

***

# 7
A geometry-optimized LiTmSn2Pd4 structure, computed with PBE.

Computed properties:
DOS at the Fermi energy = 10.08 states/eV per cell
Volume = 425.4 Å³ per cell
Energy of formation = -6.01 eV/f.u.

a b c (Å): 4.6364 4.6364 22.8491
angles (deg): 90.00 90.00 120.00
Space group R-3m (No. 166, hexagonal axes)
Inequivalent atoms, fractional coordinates:
Li1 0.0000 0.0000 0.0000 [3 per cell]
Tm1 0.0000 0.0000 0.5000 [3 per cell]
Sn1 0.0000 0.0000 0.2542 [6 per cell]
Pd1 0.0000 0.0000 0.1199 [6 per cell]
Pd2 0.0000 0.0000 0.3745 [6 per cell]

***

# 8
A geometry-optimized Tc2AgSb structure, computed with PBE.

Computed properties:
DOS at the Fermi energy = 9.39 states/eV per cell
Volume = 137.7 Å³ per cell
Formation energy from raw total energies = 514 meV/atom

a b c (Å): 3.200 4.667 9.223
angles (deg): 90.00 90.00 90.00
Space group Immm (No. 71)
Inequivalent atoms, fractional coordinates:
Tc1 0.000 0.000 0.227 [4 per cell]
Ag1 0.000 0.500 0.000 [2 per cell]
Sb1 0.000 0.500 0.500 [2 per cell]

***

# 9
A geometry-optimized TlP2Br structure, computed with PBE.

Computed properties:
DOS at the Fermi energy = 2.88 states/eV per cell
Excess energy over the best structure of this formula in the dataset = 815 meV/atom
Volume = 87.9 Å³ per cell
Formation energy from raw total energies = 696 meV/atom

a b c (Å): 3.360 4.985 5.249
angles (deg): 90.00 90.00 90.00
Space group Pmmm (No. 47)
Inequivalent atoms, fractional coordinates:
Tl1 0.000 0.000 0.000 [1 per cell]
P1 0.000 0.500 0.500 [1 per cell]
P2 0.500 0.500 0.000 [1 per cell]
Br1 0.500 0.000 0.500 [1 per cell]

***

# 10
A geometry-optimized Ba2SrLa structure, computed with PBE.

Computed properties:
DOS at the Fermi energy = 27.92 states/eV per cell
Excess energy over the best structure of this formula in the dataset = 240 meV/atom
Volume = 801.2 Å³ per cell
Energy of formation = 1.42 eV/f.u.

a b c (Å): 10.140 10.140 7.791
angles (deg): 90.00 90.00 90.00
Space group I-42d (No. 122)
Inequivalent atoms, fractional coordinates:
Ba1 0.233 0.250 0.125 [8 per cell]
Sr1 0.000 0.000 0.500 [4 per cell]
La1 0.000 0.000 0.000 [4 per cell]

***

# 11
A geometry-optimized BaLiCr structure, computed with PBE.

Computed properties:
DOS at the Fermi energy = 4.93 states/eV per cell
Excess energy over the best structure of this formula in the dataset = 4 meV/atom
Volume = 185.6 Å³ per cell
Energy of formation = 1.77 eV/f.u.

a b c (Å): 3.954 3.954 11.868
angles (deg): 90.00 90.00 90.00
Space group I4mm (No. 107)
Inequivalent atoms, fractional coordinates:
Ba1 0.000 0.000 0.000 [2 per cell]
Li1 0.000 0.000 0.288 [2 per cell]
Cr1 0.000 0.000 0.697 [2 per cell]

***

# 12
A geometry-optimized NdSm3Y7 structure, computed with PBE.

Computed properties:
DOS at the Fermi energy = 17.91 states/eV per cell
Excess energy over the best structure of this formula in the dataset = 47 meV/atom
Volume = 383.4 Å³ per cell
Energy of formation = 2.06 eV/f.u.

a b c (Å): 7.1314 7.1314 8.7057
angles (deg): 90.00 90.00 120.00
Space group P3m1 (No. 156)
Inequivalent atoms, fractional coordinates:
Nd1 0.0000 0.0000 0.0000 [1 per cell]
Sm1 0.1669 0.3337 0.3365 [3 per cell]
Y1 0.0018 0.5009 0.0002 [3 per cell]
Y2 0.3318 0.1659 0.6704 [3 per cell]
Y3 0.3333 0.6667 0.6718 [1 per cell]